DFT (PBEsol) results for Be3Ru after structural relaxation.

It has space group Pmmn (No. 59, origin choice 2), with a = 3.673 Å, b = 4.515 Å, c = 4.377 Å, α = 90.00°, β = 90.00° and γ = 90.00°. The asymmetric unit holds Be at (0.250, 0.004, 0.143), Be at (0.250, 0.750, 0.700) and Ru at (0.250, 0.250, 0.624).

The total DFT energy (no corrections) comes out at -0.4341 Ry/atom. The formation energy is -140 kJ/mol of formula units.

DFT (PBEsol) results for YNbCrPt2 after structural relaxation.

It has space group P4/mmm (No. 123), with a = 4.907 Å, b = 4.907 Å, c = 4.905 Å, α = 90.00°, β = 90.00° and γ = 90.00°. The asymmetric unit holds Y at (0.000, 0.000, 0.000), Nb at (0.000, 0.000, 0.500), Cr at (0.500, 0.500, 0.500) and Pt at (0.000, 0.500, 0.000).

The total DFT energy (no corrections) comes out at -0.4916 Ry/atom. The formation energy is 808 kJ/mol of formula units.

DFT (PBEsol) results for CaAgB2C after structural relaxation.

It has space group P4/mmm (No. 123), with a = 3.981 Å, b = 3.981 Å, c = 5.774 Å, α = 90.00°, β = 90.00° and γ = 90.00°. The asymmetric unit holds Ca at (0.000, 0.000, 0.000), Ag at (0.000, 0.000, 0.500), B at (0.000, 0.500, 0.500) and C at (0.500, 0.500, 0.000).

The total DFT energy (no corrections) comes out at -0.2829 Ry/atom. The formation energy is 953 kJ/mol of formula units.

DFT (PBEsol) results for MgGa2Pt2 after structural relaxation.

It has space group P4/mbm (No. 127), with a = 7.146 Å, b = 7.146 Å, c = 3.119 Å, α = 90.00°, β = 90.00° and γ = 90.00°. The asymmetric unit holds Mg at (0.000, 0.000, 0.000), Ga at (0.152, 0.348, 0.500) and Pt at (0.146, 0.646, 0.000).

The total DFT energy (no corrections) comes out at -0.3729 Ry/atom. The formation energy is -294 kJ/mol of formula units.

DFT (PBEsol) results for NaBi12O20 after structural relaxation.

It has space group I23 (No. 197), with a = 10.073 Å, b = 10.073 Å, c = 10.073 Å, α = 90.00°, β = 90.00° and γ = 90.00°. The asymmetric unit holds Na at (0.000, 0.000, 0.000), Bi at (0.001, 0.170, 0.318), O at (0.004, 0.369, 0.744), O at (0.141, 0.141, 0.859) and O at (0.169, 0.169, 0.169).

The total DFT energy (no corrections) comes out at -0.4355 Ry/atom.

DFT (PBEsol) results for YTl2As after structural relaxation.

It has space group Pm (No. 6), with a = 3.886 Å, b = 3.887 Å, c = 7.017 Å, α = 90.00°, β = 90.45° and γ = 90.00°. The asymmetric unit holds Y at (0.000, 0.000, 0.000), Tl at (0.491, 0.500, 0.691), Tl at (0.984, 0.000, 0.446) and As at (0.501, 0.500, 0.101).

The total DFT energy (no corrections) comes out at -0.3541 Ry/atom. The formation energy is -201 kJ/mol of formula units.

DFT (PBEsol) results for KSb after structural relaxation.

It has space group Pnma (No. 62), with a = 10.239 Å, b = 4.444 Å, c = 6.602 Å, α = 90.00°, β = 90.00° and γ = 90.00°. The asymmetric unit holds K at (0.191, 0.250, 0.112) and Sb at (0.030, 0.250, 0.629).

The total DFT energy (no corrections) comes out at -0.2366 Ry/atom.

DFT (PBEsol) results for Cr2Si2Rh after structural relaxation.

It has space group I4/mmm (No. 139), with a = 3.319 Å, b = 3.319 Å, c = 11.700 Å, α = 90.00°, β = 90.00° and γ = 90.00°. The asymmetric unit holds Cr at (0.000, 0.500, 0.250), Si at (0.000, 0.000, 0.100) and Rh at (0.000, 0.000, 0.500).

The total DFT energy (no corrections) comes out at -0.5822 Ry/atom.

DFT (PBEsol) results for LaSbSe2 after structural relaxation.

It has space group Pmmm (No. 47), with a = 3.960 Å, b = 4.493 Å, c = 5.482 Å, α = 90.00°, β = 90.00° and γ = 90.00°. The asymmetric unit holds La at (0.000, 0.000, 0.000), Sb at (0.000, 0.500, 0.500), Se at (0.500, 0.000, 0.500) and Se at (0.500, 0.500, 0.000).

The total DFT energy (no corrections) comes out at -0.4031 Ry/atom.

DFT (PBEsol) results for RbNbS2 after structural relaxation.

It has space group I-42d (No. 122), with a = 6.672 Å, b = 6.672 Å, c = 11.229 Å, α = 90.00°, β = 90.00° and γ = 90.00°. The asymmetric unit holds Rb at (0.000, 0.000, 0.000), Nb at (0.000, 0.000, 0.500) and S at (0.123, 0.750, 0.625).

The total DFT energy (no corrections) comes out at -0.4362 Ry/atom.

DFT (PBEsol) results for SbMo2S2 after structural relaxation.

It has space group P2_1/m (No. 11), with a = 6.505 Å, b = 3.155 Å, c = 9.351 Å, α = 90.00°, β = 106.04° and γ = 90.00°. The asymmetric unit holds Sb at (0.006, 0.250, 0.162), Mo at (0.108, 0.250, 0.616), Mo at (0.337, 0.250, 0.020), S at (0.264, 0.750, 0.491) and S at (0.472, 0.250, 0.809).

The total DFT energy (no corrections) comes out at -0.5869 Ry/atom.

DFT (PBEsol) results for Mn3ReNi after structural relaxation.

It has space group Pm-3m (No. 221), with a = 4.169 Å, b = 4.169 Å, c = 4.169 Å, α = 90.00°, β = 90.00° and γ = 90.00°. The asymmetric unit holds Mn at (0.000, 0.000, 0.500), Re at (0.500, 0.500, 0.500) and Ni at (0.000, 0.000, 0.000).

The total DFT energy (no corrections) comes out at -0.6092 Ry/atom. The formation energy is 708 kJ/mol of formula units.